The following is a DFT calculation (GGA-PBE) of Ag8SnSe6 after structural relaxation.

Cell: 8.0009 7.8496 11.0866 Å, 90.00 90.00 90.00°
Last column: nearest neighbours and their distance in Å.
Fractional positions:
Se: 0.5000 0.4935 0.1538  1 Sn 2.53, 3 Ag 2.62-2.77
Sn: 0.5000 0.7503 0.0156  4 Se 2.53-2.55
Se: 0.0000 0.2885 0.9881  5 Ag 2.57-2.65
Ag: 0.2913 0.8957 0.3574  4 Se 2.64-2.94
Se: 0.5000 0.7115 0.4881  5 Ag 2.57-2.65
Ag: 0.7087 0.8957 0.3574  4 Se 2.64-2.94
Ag: 0.0000 0.7195 0.4720  2 Se 2.62-2.67
Se: 0.5000 0.0087 0.1548  1 Sn 2.55, 2 Ag 2.70
Sn: 0.0000 0.2497 0.5156  4 Se 2.53-2.55
Ag: 0.0000 0.6176 0.0409  4 Se 2.65-2.75
Se: 0.2365 0.7519 0.8878  1 Sn 2.54, 4 Ag 2.69-2.80
Ag: 0.3022 0.8378 0.6480  3 Se 2.57-2.79
Se: 0.0000 0.8144 0.2403  6 Ag 2.67-2.74
Ag: 0.7913 0.1043 0.8574  4 Se 2.64-2.94
Ag: 0.6926 0.4656 0.7643  3 Se 2.69-2.77, 1 Ag 2.99
Ag: 0.8074 0.5344 0.2643  3 Se 2.69-2.77, 1 Ag 2.99
Ag: 0.2087 0.1043 0.8574  4 Se 2.64-2.94
Ag: 0.1926 0.5344 0.2643  3 Se 2.69-2.77, 1 Ag 2.99
Ag: 0.6978 0.8378 0.6480  3 Se 2.57-2.79
Se: 0.0000 0.5065 0.6538  1 Sn 2.53, 3 Ag 2.62-2.77
Ag: 0.1978 0.1622 0.1480  3 Se 2.57-2.79
Ag: 0.5000 0.3824 0.5409  4 Se 2.65-2.75
Se: 0.5000 0.1857 0.7403  6 Ag 2.67-2.74
Ag: 0.8022 0.1622 0.1480  3 Se 2.57-2.79
Se: 0.2635 0.2481 0.3878  1 Sn 2.54, 4 Ag 2.69-2.80
Ag: 0.5000 0.2805 0.9720  2 Se 2.62-2.67
Se: 0.7635 0.7519 0.8878  1 Sn 2.54, 4 Ag 2.69-2.80
Se: 0.7365 0.2481 0.3878  1 Sn 2.54, 4 Ag 2.69-2.80
Se: 0.0000 0.9913 0.6548  1 Sn 2.55, 2 Ag 2.70
Ag: 0.3074 0.4656 0.7643  3 Se 2.69-2.77, 1 Ag 2.99

Properties
space-group type	No. 31
VASP energy	-3.32	eV per atom